Material: KP2Br6
Method: DFT, GGA-PBE
State: optimized geometry

Calculated total energy, Ry/atom: -0.2128
ΔE_f (raw), eV/atom: -0.457
V, Å³ per atom: 45.40
D(E_F), states/eV/f.u.: 0.23

Cell lengths 7.535, 7.535, 9.379 Å; angles 66.31, 66.31, 60.00 degrees
Site moments in Bohr magnetons follow the coordinates.
Positions (direct):
P (0.611, 0.611, 0.167)  0.04
P (0.735, 0.735, 0.795)  0.27
Br (0.789, 0.418, 0.743)  0.07
Br (0.418, 0.050, 0.743)  0.07
Br (0.050, 0.789, 0.743)  0.07
Br (0.876, 0.339, 0.285)  0.03
Br (0.339, 0.500, 0.285)  0.03
Br (0.500, 0.876, 0.285)  0.03
K (0.348, 0.348, 0.956)  0.00